#w
Here is crystalline PmEuPb at its relaxed geometry from Alexandria via LeMat-Bulk. Energies are from PBE.

The value obtained for the density of states at the Fermi level is 0.96 states/eV per atom. As for the magnetic moment: 7.69 μB per cell.

The structure belongs to space group P3m1 (No. 156); the cell edges are 5.4536, 5.4536 and 3.8190 Å and the angles 90.00°, 90.00° and 120.00°. The asymmetric unit holds Pm at (0.0000, 0.0000, 0.0000), Eu at (0.3333, 0.6667, 0.5628) and Pb at (0.6667, 0.3333, 0.2343).


#x
Here is crystalline PmEuPb at its relaxed geometry from Alexandria via LeMat-Bulk. Energies are from PBE.

The value obtained for the density of states at the Fermi level is 3.65 states/eV per atom. As for the magnetic moment: 31.63 μB per cell.

The structure belongs to space group F-43m (No. 216); the cell edges are 7.669, 7.669 and 7.669 Å and the angles 90.00°, 90.00° and 90.00°. The asymmetric unit holds Pm at (0.000, 0.000, 0.000), Eu at (0.000, 0.000, 0.500) and Pb at (0.250, 0.250, 0.750).


The most stable arrangement is #x, and the next structure is 17 meV per atom less stable.


#w
Here is crystalline PmEu2Pb at its relaxed geometry from Alexandria via LeMat-Bulk. Energies are from PBE.

The value obtained for the density of states at the Fermi level is 0.95 states/eV per atom. As for the magnetic moment: 14.79 μB per cell.

The structure belongs to space group P4/mmm (No. 123); the cell edges are 4.979, 4.979 and 5.254 Å and the angles 90.00°, 90.00° and 90.00°. The asymmetric unit holds Pm at (0.000, 0.000, 0.000), Eu at (0.000, 0.500, 0.500) and Pb at (0.500, 0.500, 0.000).


#x
Here is crystalline PmEu2Pb at its relaxed geometry from Alexandria via LeMat-Bulk. Energies are from PBE.

The value obtained for the density of states at the Fermi level is 1.48 states/eV per atom. As for the magnetic moment: 66.69 μB per cell.

The structure belongs to space group Fm-3m (No. 225); the cell edges are 8.084, 8.084 and 8.084 Å and the angles 90.00°, 90.00° and 90.00°. The asymmetric unit holds Pm at (0.000, 0.000, 0.000), Eu at (0.250, 0.250, 0.250) and Pb at (0.000, 0.000, 0.500).


The most stable arrangement is #w, and the next structure is 179 meV per atom less stable.


#w
Here is crystalline PmEu2Pb at its relaxed geometry from Alexandria via LeMat-Bulk. Energies are from PBE.

The value obtained for the density of states at the Fermi level is 0.99 states/eV per atom. As for the magnetic moment: 44.08 μB per cell.

The structure belongs to space group R-3m (No. 166, hexagonal axes); the cell edges are 3.6778, 3.6778 and 38.4684 Å and the angles 90.00°, 90.00° and 120.00°. The asymmetric unit holds Pm at (0.0000, 0.0000, 0.0000), Eu at (0.0000, 0.0000, 0.4134) and Pb at (0.0000, 0.0000, 0.5000).


#x
Here is crystalline PmEu2Pb at its relaxed geometry from Alexandria via LeMat-Bulk. Energies are from PBE.

The value obtained for the density of states at the Fermi level is 1.28 states/eV per atom. As for the magnetic moment: 14.56 μB per cell.

The structure belongs to space group P4/mmm (No. 123); the cell edges are 4.378, 4.378 and 7.078 Å and the angles 90.00°, 90.00° and 90.00°. The asymmetric unit holds Pm at (0.000, 0.000, 0.000), Eu at (0.500, 0.500, 0.269) and Pb at (0.000, 0.000, 0.500).


The most stable arrangement is #x, and the next structure is 252 meV per atom less stable.


#w
Here is crystalline Eu2PtPb at its relaxed geometry from Alexandria via LeMat-Bulk. Energies are from PBE.

The value obtained for the density of states at the Fermi level is 4.79 states/eV per atom. As for the magnetic moment: 55.30 μB per cell.

The structure belongs to space group Fm-3m (No. 225); the cell edges are 7.580, 7.580 and 7.580 Å and the angles 90.00°, 90.00° and 90.00°. The asymmetric unit holds Eu at (0.250, 0.250, 0.250), Pt at (0.000, 0.000, 0.000) and Pb at (0.000, 0.000, 0.500).


#x
Here is crystalline Eu2PtPb at its relaxed geometry from Alexandria via LeMat-Bulk. Energies are from PBE.

The value obtained for the density of states at the Fermi level is 4.29 states/eV per atom. As for the magnetic moment: 41.83 μB per cell.

The structure belongs to space group R-3m (No. 166, hexagonal axes); the cell edges are 4.0745, 4.0745 and 25.8492 Å and the angles 90.00°, 90.00° and 120.00°. The asymmetric unit holds Eu at (0.0000, 0.0000, 0.2347), Pt at (0.0000, 0.0000, 0.5000) and Pb at (0.0000, 0.0000, 0.0000).


The most stable arrangement is #x, and the next structure is 52 meV per atom less stable.


#w
Here is crystalline EuPuPb at its relaxed geometry from Alexandria via LeMat-Bulk. Energies are from PBE.

The value obtained for the density of states at the Fermi level is 5.20 states/eV per atom. As for the magnetic moment: 1.66 μB per cell.

The structure belongs to space group I4mm (No. 107); the cell edges are 4.166, 4.166 and 10.450 Å and the angles 90.00°, 90.00° and 90.00°. The asymmetric unit holds Eu at (0.000, 0.000, 0.000), Pu at (0.000, 0.000, 0.691) and Pb at (0.000, 0.000, 0.343).


#x
Here is crystalline EuPuPb at its relaxed geometry from Alexandria via LeMat-Bulk. Energies are from PBE.

The value obtained for the density of states at the Fermi level is 3.47 states/eV per atom. As for the magnetic moment: 0.85 μB per cell.

The structure belongs to space group P-6m2 (No. 187); the cell edges are 5.4480, 5.4480 and 3.3234 Å and the angles 90.00°, 90.00° and 120.00°. The asymmetric unit holds Eu at (0.0000, 0.0000, 0.0000), Pu at (0.3333, 0.6667, 0.0000) and Pb at (0.6667, 0.3333, 0.5000).


The most stable arrangement is #w, and the next structure is 54 meV per atom less stable.


#w
Here is crystalline EuPu2Pb at its relaxed geometry from Alexandria via LeMat-Bulk. Energies are from PBE.

The value obtained for the density of states at the Fermi level is 3.79 states/eV per atom. As for the magnetic moment: 19.54 μB per cell.

The structure belongs to space group P4/mmm (No. 123); the cell edges are 4.740, 4.740 and 5.126 Å and the angles 90.00°, 90.00° and 90.00°. The asymmetric unit holds Eu at (0.000, 0.000, 0.000), Pu at (0.000, 0.500, 0.500) and Pb at (0.500, 0.500, 0.000).


#x
Here is crystalline EuPu2Pb at its relaxed geometry from Alexandria via LeMat-Bulk. Energies are from PBE.

The value obtained for the density of states at the Fermi level is 3.78 states/eV per atom. As for the magnetic moment: 83.66 μB per cell.

The structure belongs to space group Fm-3m (No. 225); the cell edges are 7.781, 7.781 and 7.781 Å and the angles 90.00°, 90.00° and 90.00°. The asymmetric unit holds Eu at (0.000, 0.000, 0.000), Pu at (0.250, 0.250, 0.250) and Pb at (0.000, 0.000, 0.500).


The most stable arrangement is #w, and the next structure is 155 meV per atom less stable.


#w
Here is crystalline RbEuPb2 at its relaxed geometry from Alexandria via LeMat-Bulk. Energies are from PBE.

The value obtained for the density of states at the Fermi level is 2.05 states/eV per atom. As for the magnetic moment: 21.45 μB per cell.

The structure belongs to space group R-3m (No. 166, hexagonal axes); the cell edges are 3.8429, 3.8429 and 34.6825 Å and the angles 90.00°, 90.00° and 120.00°. The asymmetric unit holds Rb at (0.0000, 0.0000, 0.0000), Eu at (0.0000, 0.0000, 0.5000) and Pb at (0.0000, 0.0000, 0.2440).


#x
Here is crystalline RbEuPb2 at its relaxed geometry from Alexandria via LeMat-Bulk. Energies are from PBE.

The value obtained for the density of states at the Fermi level is 2.37 states/eV per atom. As for the magnetic moment: 7.12 μB per cell.

The structure belongs to space group P4/mmm (No. 123); the cell edges are 4.199, 4.199 and 8.615 Å and the angles 90.00°, 90.00° and 90.00°. The asymmetric unit holds Rb at (0.000, 0.000, 0.000), Eu at (0.000, 0.000, 0.500) and Pb at (0.500, 0.500, 0.301).


The most stable arrangement is #x, and the next structure is 154 meV per atom less stable.


#w
Here is crystalline RbEu2Pb at its relaxed geometry from Alexandria via LeMat-Bulk. Energies are from PBE.

The value obtained for the density of states at the Fermi level is 0.88 states/eV per atom. As for the magnetic moment: 14.90 μB per cell.

The structure belongs to space group P4/mmm (No. 123); the cell edges are 4.079, 4.079 and 11.192 Å and the angles 90.00°, 90.00° and 90.00°. The asymmetric unit holds Rb at (0.000, 0.000, 0.000), Eu at (0.500, 0.500, 0.331) and Pb at (0.000, 0.000, 0.500).


#x
Here is crystalline RbEu2Pb at its relaxed geometry from Alexandria via LeMat-Bulk. Energies are from PBE.

The value obtained for the density of states at the Fermi level is 4.87 states/eV per atom. As for the magnetic moment: 15.07 μB per cell.

The structure belongs to space group P4/mmm (No. 123); the cell edges are 5.549, 5.549 and 5.027 Å and the angles 90.00°, 90.00° and 90.00°. The asymmetric unit holds Rb at (0.000, 0.000, 0.000), Eu at (0.000, 0.500, 0.500) and Pb at (0.500, 0.500, 0.000).


The most stable arrangement is #w, and the next structure is 110 meV per atom less stable.